(1)
Material: LiSc3Ag
Method: DFT, PBE-GGA
State: optimized geometry

Its crystal system is cubic. As for the calculated volume: 29.15 Å³/atom. As for the polymorph energy (0 for the lowest one): 0.000 eV/atom. The value obtained for the calculated total energy is -4.307 eV per atom. As for the energy of formation from the pure elements: 445 meV per atom.

The structure belongs to space group Pm-3m (No. 221); the cell edges are 5.263, 5.263 and 5.263 Å and the angles 90.00°, 90.00° and 90.00°. The inequivalent atoms are Li at (0.000, 0.000, 0.000), Sc at (0.000, 0.500, 0.500) and Ag at (0.500, 0.500, 0.500).

(2)
Material: LaPr6Nd2Er
Method: DFT, PBE-GGA
State: optimized geometry

Its crystal system is monoclinic. As for the calculated volume: 35.86 Å³/atom. The value obtained for the calculated total energy is -4.663 eV per atom. As for the energy of formation from the pure elements: 107 meV per atom.

The structure belongs to space group C2/c (No. 15); the cell edges are 9.373, 15.513 and 9.962 Å and the angles 90.00°, 98.02° and 90.00°. The inequivalent atoms are La at (0.000, 0.020, 0.250), Pr at (0.067, 0.186, 0.946), Pr at (0.098, 0.396, 0.118), Pr at (0.210, 0.222, 0.312), Nd at (0.246, 0.050, 0.545) and Er at (0.000, 0.409, 0.750).